Compound: Tl2Pd7Pb
Source: the Alexandria database
Functional: PBE
Structure: relaxed

Calculated values
* formation enthalpy at 0 K: 0.16 eV/atom
* VASP energy: -4.3191 eV/atom
* total moment: 0.000 μB/f.u.
* crystal system: orthorhombic

a b c (Å): 4.226 8.077 8.077
angles (deg): 125.14 90.00 90.00
Element x y z (fractional)
Pd: 0.000 0.811 0.189
Pd: 0.000 0.189 0.811
Tl: 0.500 0.306 0.694
Pd: 0.500 0.282 0.084
Pd: 0.500 0.718 0.916
Pd: 0.500 0.084 0.282
Pd: 0.500 0.916 0.718
Tl: 0.500 0.694 0.306
Pb: 0.000 0.000 0.000
Pd: 0.500 0.500 0.500